First-principles (GGA-PBE) data for a relaxed CoHgPd2 crystal, as listed in Alexandria.

abc: 2.8907 2.8907 26.5074
angles: 90.00 90.00 120.00
Space group R-3m (No. 166, hexagonal axes)
Asymmetric unit:
Co  0.0000  0.0000  0.0000 (multiplicity 3)
Hg  0.0000  0.0000  0.5000 (multiplicity 3)
Pd  0.0000  0.0000  0.2580 (multiplicity 6)

Calculated density ... 12.27 g/cm³
Formation energy ... 0.123 eV per atom
Crystal system ... trigonal
E_tot ... -4.3251 eV/atom